[1]
Crystalline TbPaP2 at its relaxed geometry. Source: Alexandria, functional PBE.

Summary:
Energy relative to the elements = -610 meV per atom
Space-group type = No. 166

Cell: 4.136 4.136 8.411 Å, 75.77 75.77 60.00°
Element x y z (fractional)
P1 0.889 0.889 0.334
P2 0.111 0.111 0.666
Tb1 0.000 0.000 0.000
Pa1 0.500 0.500 0.500


[2]
Crystalline Ce2UTaN4 at its relaxed geometry. Source: Alexandria, functional PBE.

Summary:
Uncorrected formation energy = -1.42 eV per atom
Space-group type = No. 10

Cell: 3.370 5.795 5.990 Å, 108.33 90.00 90.00°
Each line ends with the local moment (μB).
Element x y z (fractional)
Ce1 0.000 0.500 0.500  -0.01
Ce2 0.500 0.000 0.500  0.02
Ta1 0.000 0.000 0.000  0.01
N1 0.000 0.752 0.214  -0.01
N2 0.500 0.226 0.208  -0.01
N3 0.000 0.248 0.786  -0.01
N4 0.500 0.774 0.792  -0.01
U1 0.500 0.500 0.000  0.39


| no. | density (Mg/m³) | size of the total moment (μB per formula unit) |
| --- | --- | --- |
| 1 | 6.28 | 0.00 |
| 2 | 11.29 | 0.41 |